A geometry-optimized TiBeTcBi2 structure. Source: the Alexandria database, functional PBE-GGA.

It has space group P4/mmm (No. 123), with a = 4.920 Å, b = 4.920 Å, c = 4.354 Å, α = 90.00°, β = 90.00° and γ = 90.00°. The distinct sites, in fractional coordinates, are Ti at (0.000, 0.000, 0.000), Be at (0.000, 0.000, 0.500), Tc at (0.500, 0.500, 0.000) and Bi at (0.000, 0.500, 0.500).

The calculation puts the total energy at -24.9 eV/cell. The calculation puts the theoretical density at 9025 kg/m3. The value obtained for the energy of formation from the pure elements is 0.97 eV/atom.